Here is a relaxed structure of PaBe2Re from the Alexandria database. Energies are from PBE.

a b c (Å): 3.2476 3.2476 6.8158
angles (deg): 76.22 76.22 60.00
With the nearest neighbours (Å) after each atom.
Fractional coordinates of all 4 atoms:
Re1 0.0000 0.0000 0.0000  6 Be 2.28
Pa1 0.5000 0.5000 0.5000  6 Be 2.73
Be1 0.2676 0.2676 0.1973  3 Re 2.28
Be2 0.7324 0.7324 0.8027  3 Re 2.28

Properties
Formation enthalpy at 0 K ... 0.3813 eV per atom
V ... 59.9 Å³/f.u.
Space group ... R-3m, No. 166
VASP energy ... -6.968 eV/atom
N(E_F) ... 1.04 states/eV/atom

---

Here is a relaxed structure of PaBe17Re from the Alexandria database. Energies are from PBE.

a b c (Å): 5.6665 5.6665 5.6665
angles (deg): 83.26 83.26 83.26
With the nearest neighbours (Å) after each atom.
Fractional coordinates of all 19 atoms:
Pa1 0.6590 0.6590 0.6590  19 Be 2.73-2.87
Be1 0.2866 0.0084 0.7046  8 Be 2.09-2.31
Be2 0.7046 0.2866 0.0084  8 Be 2.09-2.31
Be3 0.0084 0.7046 0.2866  8 Be 2.09-2.31
Be4 0.2866 0.7046 0.0084  8 Be 2.09-2.31
Be5 0.0084 0.2866 0.7046  8 Be 2.09-2.31
Be6 0.7046 0.0084 0.2866  8 Be 2.09-2.31
Be7 0.3399 0.8540 0.3399  9 Be 2.16-2.31
Be8 0.3399 0.3399 0.8540  9 Be 2.16-2.31
Be9 0.8540 0.3399 0.3399  9 Be 2.16-2.31
Be10 0.6512 0.1630 0.6512  9 Be 2.19-2.42
Be11 0.6512 0.6512 0.1630  9 Be 2.19-2.42
Be12 0.1630 0.6512 0.6512  9 Be 2.19-2.42
Be13 0.9980 0.5021 0.9980  10 Be 2.11-2.31
Be14 0.9980 0.9980 0.5021  10 Be 2.11-2.31
Be15 0.5021 0.9980 0.9980  10 Be 2.11-2.31
Be16 0.9091 0.9091 0.9091  4 Be 2.12-2.31
Be17 0.1031 0.1031 0.1031  7 Be 2.12-2.30
Re1 0.3325 0.3325 0.3325  13 Be 2.50-2.72

Properties
Formation enthalpy at 0 K ... -0.0238 eV per atom
V ... 178.4 Å³/f.u.
Space group ... R3m, No. 160
VASP energy ... -4.513 eV/atom
N(E_F) ... 0.37 states/eV/atom

---

Here is a relaxed structure of Pa2Be16Re from the Alexandria database. Energies are from PBE.

a b c (Å): 5.9328 5.9328 5.9328
angles (deg): 84.02 84.02 84.02
With the nearest neighbours (Å) after each atom.
Fractional coordinates of all 19 atoms:
Pa1 0.6635 0.6635 0.6635  1 Re 2.58
Pa2 0.3491 0.3491 0.3491  19 Be 2.79-3.05
Be1 0.7224 0.9985 0.2718  6 Be 2.17-2.31
Be2 0.9985 0.2718 0.7224  6 Be 2.17-2.31
Be3 0.2718 0.7224 0.9985  6 Be 2.17-2.31
Be4 0.9985 0.7224 0.2718  6 Be 2.17-2.31
Be5 0.7224 0.2718 0.9985  6 Be 2.17-2.31
Be6 0.2718 0.9985 0.7224  6 Be 2.17-2.31
Be7 0.3393 0.8477 0.3393  9 Be 2.25-2.51
Be8 0.8477 0.3393 0.3393  9 Be 2.25-2.51
Be9 0.3393 0.3393 0.8477  9 Be 2.25-2.51
Be10 0.6597 0.1602 0.6597  6 Be 2.26-2.32, 1 Re 2.41
Be11 0.1602 0.6597 0.6597  6 Be 2.26-2.32, 1 Re 2.41
Be12 0.6597 0.6597 0.1602  6 Be 2.26-2.32, 1 Re 2.41
Be13 0.0037 0.4946 0.0037  9 Be 2.19-2.37, 1 Re 2.42
Be14 0.4946 0.0037 0.0037  9 Be 2.19-2.37, 1 Re 2.42
Be15 0.0037 0.0037 0.4946  9 Be 2.19-2.37, 1 Re 2.42
Be16 0.1019 0.1019 0.1019  12 Be 2.37-2.48, 1 Re 2.37
Re1 0.8921 0.8921 0.8921  13 Be 2.37-2.49, 1 Pa 2.58

Properties
Formation enthalpy at 0 K ... -0.0745 eV per atom
V ... 205.6 Å³/f.u.
Space group ... R3m, No. 160
VASP energy ... -4.867 eV/atom
N(E_F) ... 0.48 states/eV/atom

---

Here is a relaxed structure of Pa2BeRe from the Alexandria database. Energies are from PBE.

a b c (Å): 3.0301 3.0301 10.6356
angles (deg): 81.81 81.81 60.00
With the nearest neighbours (Å) after each atom.
Fractional coordinates of all 4 atoms:
Re1 0.5000 0.5000 0.5000  6 Pa 2.93, 6 Re 3.03
Pa1 0.0918 0.0918 0.7246  1 Be 2.89, 3 Re 2.93, 6 Pa 3.03
Pa2 0.9082 0.9082 0.2754  1 Be 2.89, 3 Re 2.93, 6 Pa 3.03
Be1 0.0000 0.0000 0.0000  2 Pa 2.89, 6 Be 3.03

Properties
Formation enthalpy at 0 K ... 0.7346 eV per atom
V ... 83.4 Å³/f.u.
Space group ... R-3m, No. 166
VASP energy ... -8.057 eV/atom
Energy above the lowest structure with this stoichiometry ... 249.5 kJ/mol of formula units
N(E_F) ... 1.25 states/eV/atom

---

Here is a relaxed structure of Pa2BeRe from the Alexandria database. Energies are from PBE.

a b c (Å): 3.4589 3.4589 6.3958
angles (deg): 90.00 90.00 90.00
With the nearest neighbours (Å) after each atom.
Fractional coordinates of all 4 atoms:
Re1 0.5000 0.5000 0.5000  8 Pa 3.01, 2 Be 3.20
Pa1 0.0000 0.0000 0.7751  4 Be 2.84, 1 Pa 2.88, 4 Re 3.01
Pa2 0.0000 0.0000 0.2249  4 Be 2.84, 1 Pa 2.88, 4 Re 3.01
Be1 0.5000 0.5000 0.0000  8 Pa 2.84

Properties
Formation enthalpy at 0 K ... 0.1113 eV per atom
V ... 76.5 Å³/f.u.
Space group ... P4/mmm, No. 123
VASP energy ... -8.680 eV/atom
Energy above the lowest structure with this stoichiometry ... 8.9 kJ/mol of formula units
N(E_F) ... 1.51 states/eV/atom

---

Here is a relaxed structure of Pa2BeRe from the Alexandria database. Energies are from PBE.

a b c (Å): 3.9858 4.3817 4.3817
angles (deg): 90.00 90.00 90.00
With the nearest neighbours (Å) after each atom.
Fractional coordinates of all 4 atoms:
Re1 0.5000 0.0000 0.0000  8 Pa 2.96, 4 Be 3.10
Pa1 0.0000 0.0000 0.5000  4 Re 2.96, 4 Be 2.96, 4 Pa 3.10
Pa2 0.0000 0.5000 0.0000  4 Re 2.96, 4 Be 2.96, 4 Pa 3.10
Be1 0.5000 0.5000 0.5000  8 Pa 2.96, 4 Re 3.10

Properties
Formation enthalpy at 0 K ... 0.0882 eV per atom
V ... 76.5 Å³/f.u.
Space group ... P4/mmm, No. 123
VASP energy ... -8.703 eV/atom
Energy above the lowest structure with this stoichiometry ... 0.0 kJ/mol of formula units
N(E_F) ... 1.13 states/eV/atom

---

Here is a relaxed structure of PaBeRh2 from the Alexandria database. Energies are from PBE.

a b c (Å): 3.7062 4.1834 4.1834
angles (deg): 90.00 90.00 90.00
With the nearest neighbours (Å) after each atom.
Fractional coordinates of all 4 atoms:
Be1 0.5000 0.5000 0.5000  8 Rh 2.79, 4 Pa 2.96
Pa1 0.5000 0.0000 0.0000  8 Rh 2.79, 4 Be 2.96
Rh1 0.0000 0.0000 0.5000  4 Pa 2.79, 4 Be 2.79, 4 Rh 2.96
Rh2 0.0000 0.5000 0.0000  4 Pa 2.79, 4 Be 2.79, 4 Rh 2.96

Properties
Formation enthalpy at 0 K ... -0.5255 eV per atom
V ... 64.9 Å³/f.u.
Space group ... P4/mmm, No. 123
VASP energy ... -7.507 eV/atom
Energy above the lowest structure with this stoichiometry ... 62.3 kJ/mol of formula units
N(E_F) ... 0.98 states/eV/atom

---

Here is a relaxed structure of PaBeRh from the Alexandria database. Energies are from PBE.

a b c (Å): 4.6066 5.2033 5.2033
angles (deg): 64.93 63.73 63.73
With the nearest neighbours (Å) after each atom.
Fractional coordinates of all 6 atoms:
Pa1 0.8696 0.3804 0.3804  6 Rh 2.86-3.10, 2 Pa 2.92, 6 Be 3.07-3.15
Pa2 0.1304 0.6196 0.6196  6 Rh 2.86-3.10, 2 Pa 2.92, 6 Be 3.07-3.15
Be1 0.0000 0.0000 0.0000  2 Be 2.30
Be2 0.5000 0.0000 0.0000  2 Be 2.30
Rh1 0.5000 0.5000 0.0000  4 Be 2.60, 2 Rh 2.79, 4 Pa 2.86
Rh2 0.5000 0.0000 0.5000  4 Be 2.60, 2 Rh 2.79, 4 Pa 2.86

Properties
Formation enthalpy at 0 K ... -0.5160 eV per atom
V ... 48.1 Å³/f.u.
Space group ... Imma, No. 74
VASP energy ... -7.374 eV/atom
Energy above the lowest structure with this stoichiometry ... 0.0 kJ/mol of formula units
N(E_F) ... 0.84 states/eV/atom

---

Here is a relaxed structure of PaBeRh3 from the Alexandria database. Energies are from PBE.

a b c (Å): 5.4661 5.4664 6.5035
angles (deg): 65.15 65.15 90.00
With the nearest neighbours (Å) after each atom.
Fractional coordinates of all 10 atoms:
Pa1 0.8015 0.5130 0.2318  8 Rh 2.83-2.96, 4 Be 3.11
Pa2 0.3017 0.0130 0.2318  8 Rh 2.83-2.96, 4 Be 3.11
Be1 0.1600 0.3714 0.5147  5 Rh 2.21-2.31, 1 Be 2.27
Be2 0.9432 0.1545 0.9488  5 Rh 2.21-2.31, 1 Be 2.27
Rh1 0.3715 0.5831 0.0916  1 Be 2.21
Rh2 0.2312 0.5831 0.7316  2 Be 2.30-2.31
Rh3 0.3717 0.0835 0.7317  2 Be 2.30
Rh4 0.7315 0.4425 0.7319  2 Be 2.30
Rh5 0.7317 0.9429 0.3720  1 Be 2.21
Rh6 0.8720 0.9428 0.7319  2 Be 2.30-2.31

Properties
Formation enthalpy at 0 K ... -0.6641 eV per atom
V ... 78.1 Å³/f.u.
Space group ... I4/m, No. 87
VASP energy ... -7.719 eV/atom
Energy above the lowest structure with this stoichiometry ... 34.2 kJ/mol of formula units
N(E_F) ... 0.31 states/eV/atom

---

Here is a relaxed structure of PaBe5Rh from the Alexandria database. Energies are from PBE.

a b c (Å): 4.4556 7.6616 9.5967
angles (deg): 90.00 90.00 90.00
With the nearest neighbours (Å) after each atom.
Fractional coordinates of all 28 atoms:
Pa1 0.2500 0.2278 0.9392  10 Be 2.67-2.97, 1 Rh 2.92
Pa2 0.7500 0.2722 0.4392  10 Be 2.67-2.97, 1 Rh 2.92
Pa3 0.2500 0.7278 0.5608  10 Be 2.67-2.97, 1 Rh 2.92
Pa4 0.7500 0.7722 0.0608  10 Be 2.67-2.97, 1 Rh 2.92
Be1 0.2500 0.5731 0.0139  5 Be 2.20-2.45
Be2 0.7500 0.9269 0.5139  5 Be 2.20-2.45
Be3 0.2500 0.0731 0.4861  5 Be 2.20-2.45
Be4 0.7500 0.4269 0.9861  5 Be 2.20-2.45
Be5 0.7500 0.2972 0.7527  7 Be 2.19-2.45
Be6 0.2500 0.2028 0.2527  7 Be 2.19-2.45
Be7 0.7500 0.7972 0.7473  7 Be 2.19-2.45
Be8 0.2500 0.7028 0.2473  7 Be 2.19-2.45
Be9 0.2500 0.9665 0.1239  4 Be 2.17-2.34
Be10 0.7500 0.5335 0.6239  4 Be 2.17-2.34
Be11 0.2500 0.4665 0.3761  4 Be 2.17-2.34
Be12 0.7500 0.0335 0.8761  4 Be 2.17-2.34
Be13 0.9943 0.4408 0.1845  7 Be 2.17-2.39
Be14 0.0057 0.0592 0.6845  7 Be 2.17-2.39
Be15 0.5057 0.9408 0.3155  7 Be 2.17-2.39
Be16 0.4943 0.5592 0.8155  7 Be 2.17-2.39
Be17 0.0057 0.5592 0.8155  7 Be 2.17-2.39
Be18 0.9943 0.9408 0.3155  7 Be 2.17-2.39
Be19 0.4943 0.0592 0.6845  7 Be 2.17-2.39
Be20 0.5057 0.4408 0.1845  7 Be 2.17-2.39
Rh1 0.2500 0.8600 0.8579  10 Be 2.51-2.68
Rh2 0.7500 0.6400 0.3579  10 Be 2.51-2.68
Rh3 0.2500 0.3600 0.6421  10 Be 2.51-2.68
Rh4 0.7500 0.1400 0.1421  10 Be 2.51-2.68

Properties
Formation enthalpy at 0 K ... -0.2915 eV per atom
V ... 81.9 Å³/f.u.
Space group ... Pnma, No. 62
VASP energy ... -5.360 eV/atom
N(E_F) ... 0.41 states/eV/atom

---

Here is a relaxed structure of PaBeRh2 from the Alexandria database. Energies are from PBE.

a b c (Å): 4.5670 4.5670 4.5670
angles (deg): 60.00 60.00 60.00
With the nearest neighbours (Å) after each atom.
Fractional coordinates of all 4 atoms:
Be1 0.5000 0.5000 0.5000  8 Rh 2.80
Pa1 0.0000 0.0000 0.0000  8 Rh 2.80
Rh1 0.2500 0.2500 0.2500  4 Pa 2.80, 4 Be 2.80
Rh2 0.7500 0.7500 0.7500  4 Pa 2.80, 4 Be 2.80

Properties
Formation enthalpy at 0 K ... -0.4294 eV per atom
V ... 67.4 Å³/f.u.
Space group ... Fm-3m, No. 225
VASP energy ... -7.411 eV/atom
Energy above the lowest structure with this stoichiometry ... 99.4 kJ/mol of formula units
N(E_F) ... 1.46 states/eV/atom

---

Here is a relaxed structure of Pa2BeRh3 from the Alexandria database. Energies are from PBE.

a b c (Å): 4.9693 4.9693 4.9693
angles (deg): 67.59 67.59 67.59
With the nearest neighbours (Å) after each atom.
Fractional coordinates of all 6 atoms:
Pa1 0.3752 0.3752 0.3752  1 Pa 2.85, 9 Rh 2.87-3.11
Pa2 0.6248 0.6248 0.6248  1 Pa 2.85, 9 Rh 2.87-3.11
Be1 0.0000 0.0000 0.0000  6 Rh 2.48
Rh1 0.0000 0.0000 0.5000  2 Be 2.48, 4 Rh 2.76
Rh2 0.5000 0.0000 0.0000  2 Be 2.48, 4 Rh 2.76
Rh3 0.0000 0.5000 0.0000  2 Be 2.48, 4 Rh 2.76

Properties
Formation enthalpy at 0 K ... -0.7216 eV per atom
V ... 100.8 Å³/f.u.
Space group ... R-3m, No. 166
VASP energy ... -8.184 eV/atom
N(E_F) ... 0.99 states/eV/atom